Here is SmZrAl2 after structural relaxation from Alexandria. Energies are from PBE.

abc: 4.995 4.995 4.995
angles: 60.00 60.00 60.00
Fractional positions:
Al 0.250 0.250 0.250
Al 0.750 0.750 0.750
Sm 0.000 0.000 0.000
Zr 0.500 0.500 0.500

Summary:
polymorph energy (0 for the lowest one): 80 meV per atom
calculated total energy: -21.80 eV per formula unit
formation enthalpy at 0 K: -0.26 eV/atom